Record 1
Computed, not measured: a relaxed structure of LiMgRu2N at the PBE-GGA level of DFT.

As for the formation energy from raw total energies: -0.1474 eV/atom. The value obtained for the density of states at the Fermi level is 5.00 states/eV/f.u. Its total energy is -6.225 eV per atom.

The structure belongs to space group P4/mmm (No. 123); the cell edges are 3.987, 3.987 and 4.105 Å and the angles 90.00°, 90.00° and 90.00°. The inequivalent atoms are Li at (0.000, 0.000, 0.000), Mg at (0.500, 0.500, 0.000), Ru at (0.000, 0.500, 0.500) and N at (0.000, 0.000, 0.500).

Record 2
Computed, not measured: a relaxed structure of TbPm2Tc at the PBE-GGA level of DFT.

Its formation energy from the elements is 361 meV/atom. The value obtained for the energy above the lowest structure with this stoichiometry is 1.54 eV/f.u. The value obtained for the density of states at the Fermi level is 5.36 states/eV/f.u. Its total energy is -5.763 eV per atom.

The structure belongs to space group R-3m (No. 166, hexagonal axes); the cell edges are 3.4795, 3.4795 and 33.1508 Å and the angles 90.00°, 90.00° and 120.00°. The inequivalent atoms are Tb at (0.0000, 0.0000, 0.0000), Pm at (0.0000, 0.0000, 0.1042) and Tc at (0.0000, 0.0000, 0.5000).

Record 3
Computed, not measured: a relaxed structure of Sm6Bi2Te3S at the PBE-GGA level of DFT.

As for the formation energy from raw total energies: -1.3346 eV/atom. The value obtained for the density of states at the Fermi level is 2.80 states/eV/f.u. Its total energy is -5.470 eV per atom.

The structure belongs to space group C2/m (No. 12); the cell edges are 19.411, 4.384 and 8.878 Å and the angles 90.00°, 103.44° and 90.00°. The inequivalent atoms are Sm at (0.002, 0.000, 0.287), Sm at (0.147, 0.500, 0.573), Sm at (0.164, 0.500, 0.084), Bi at (0.166, 0.000, 0.833), Te at (0.000, 0.500, 0.000), Te at (0.173, 0.000, 0.339) and S at (0.000, 0.500, 0.500).